[1]
Here is a relaxed KGeSb crystal from Alexandria. Energies are from PBE.

The space group is Cm (No. 8) and the conventional cell measures 7.2706, 4.1952 and 13.1963 Å, with angles of 90.00, 100.57 and 90.00 degrees. The asymmetric unit holds K at (0.0000, 0.0000, 0.0000), K at (0.1658, 0.0000, 0.4996), Ge at (0.2691, 0.0000, 0.8111), Ge at (0.2713, 0.5000, 0.3127), Sb at (0.0683, 0.5000, 0.7089) and Sb at (0.4041, 0.0000, 0.2108).

The value obtained for the magnetization is 0.000 μB per atom. Its electronic total energy is -42.49 eV for the cell shown.


[2]
Here is a relaxed LiRhF4 crystal from Alexandria. Energies are from PBE.

The space group is I-4m2 (No. 119) and the conventional cell measures 3.9922, 3.9922 and 10.0095 Å, with angles of 90.00, 90.00 and 90.00 degrees. The asymmetric unit holds Li at (0.0000, 0.0000, 0.0000), Rh at (0.0000, 0.5000, 0.2500), F at (0.0000, 0.0000, 0.2183) and F at (0.0000, 0.5000, 0.0505).

The value obtained for the magnetization is 0.000 μB per atom. Its electronic total energy is -56.74 eV for the cell shown.


[3]
Here is a relaxed MgAsIr2 crystal from Alexandria. Energies are from PBE.

The space group is C2/m (No. 12) and the conventional cell measures 8.7326, 2.9034 and 4.8966 Å, with angles of 90.00, 99.08 and 90.00 degrees. The asymmetric unit holds Mg at (0.0000, 0.0000, 0.0000), As at (0.0000, 0.5000, 0.5000) and Ir at (0.2491, 0.5000, 0.2581).

As for the formation energy: -0.159 eV per atom. The value obtained for the magnetization is 0.000 μB per atom. As for the excess energy over the best structure of this formula in the dataset: 0.0299 eV/atom.


[4]
Here is a relaxed TcBrCl crystal from Alexandria. Energies are from PBE.

The space group is F-43m (No. 216) and the conventional cell measures 6.8801, 6.8801 and 6.8801 Å, with angles of 90.00, 90.00 and 90.00 degrees. The asymmetric unit holds Tc at (0.0000, 0.0000, 0.0000), Br at (0.2500, 0.2500, 0.7500) and Cl at (0.0000, 0.0000, 0.5000).

The value obtained for the magnetization is 1.667 μB per atom. As for the excess energy over the best structure of this formula in the dataset: 0.9354 eV/atom.


[5]
Here is a relaxed CrSb2Cl crystal from Alexandria. Energies are from PBE.

The space group is Immm (No. 71) and the conventional cell measures 3.3664, 4.3822 and 13.3500 Å, with angles of 90.00, 90.00 and 90.00 degrees. The asymmetric unit holds Cr at (0.0000, 0.0000, 0.0000), Sb at (0.0000, 0.5000, 0.3048) and Cl at (0.0000, 0.0000, 0.5000).

The value obtained for the magnetization is 1.081 μB per atom. As for the excess energy over the best structure of this formula in the dataset: 0.1791 eV/atom.


[6]
Here is a relaxed SrCaAlBiO6 crystal from Alexandria. Energies are from PBE.

The space group is F-43m (No. 216) and the conventional cell measures 8.0013, 8.0013 and 8.0013 Å, with angles of 90.00, 90.00 and 90.00 degrees. The asymmetric unit holds Sr at (0.0000, 0.0000, 0.0000), Ca at (0.0000, 0.0000, 0.5000), Al at (0.2500, 0.2500, 0.2500), Bi at (0.2500, 0.2500, 0.7500) and O at (0.0114, 0.2500, 0.2500).

The value obtained for the magnetization is 0.000 μB per atom. Its electronic total energy is -251.01 eV for the cell shown.